Compound: Ac4TlCd2Ag
Source: Alexandria
Functional: PBE-GGA
Structure: optimized geometry

Unit cell a=5.7365 b=5.7365 c=9.9511 alpha=73.25 beta=73.25 gamma=60.00
Fractional positions:
Ac1 0.8719 0.8719 0.3842
Ac2 0.6218 0.6218 0.1347
Cd1 0.7478 0.7478 0.7565
Ac3 0.3782 0.3782 0.8653
Ag1 0.5000 0.5000 0.5000
Ac4 0.1281 0.1281 0.6158
Tl1 0.0000 0.0000 0.0000
Cd2 0.2522 0.2522 0.2435

Properties
V in Å³/cell: 267.4
Formation enthalpy at 0 K in eV/atom: -0.297
SG: R-3m
Calculated total energy in eV per atom: -3.232

***

Compound: SrMgGe
Source: Alexandria
Functional: PBE-GGA
Structure: optimized geometry

Unit cell a=4.6487 b=11.6282 c=6.3693 alpha=85.21 beta=111.40 gamma=90.00
Fractional positions:
Sr1 0.4071 0.1617 0.8143
Mg1 0.7879 0.3937 0.5757
Ge1 0.7034 0.1660 0.4067
Mg2 0.2121 0.6063 0.4243
Sr2 0.5929 0.8383 0.1857
Ge2 0.2966 0.8340 0.5933
Ge3 0.5956 0.5567 0.1913
Mg3 0.8525 0.9561 0.7050
Sr3 0.9130 0.6544 0.8261
Mg4 0.1475 0.0439 0.2950
Ge4 0.4044 0.4433 0.8087
Sr4 0.0870 0.3456 0.1739

Properties
V in Å³/cell: 319.3
Formation enthalpy at 0 K in eV/atom: -0.468
SG: C2/m
Calculated total energy in eV per atom: -3.099

***

Compound: CsK2RbHg
Source: Alexandria
Functional: PBE-GGA
Structure: optimized geometry

Unit cell a=4.7606 b=10.7876 c=14.2635 alpha=108.50 beta=90.00 gamma=90.00
Fractional positions:
Hg1 0.2500 0.2711 0.0596
K1 0.7500 0.6114 0.6671
Cs1 0.2500 0.9496 0.1412
Cs2 0.7500 0.0504 0.8588
Rb1 0.7500 0.8043 0.4334
K2 0.2500 0.3886 0.3329
Rb2 0.2500 0.1957 0.5666
K3 0.7500 0.5399 0.1264
K4 0.2500 0.4601 0.8736
Hg2 0.7500 0.7289 0.9404

Properties
V in Å³/cell: 694.7
Formation enthalpy at 0 K in eV/atom: -0.062
SG: P2_1/m
Distance to the lowest polymorph of the same formula in meV/atom: 19
Calculated total energy in eV per atom: -0.926

***

Compound: Ce2NdN3
Source: Alexandria
Functional: PBE-GGA
Structure: optimized geometry

Unit cell a=3.5873 b=5.0955 c=6.2178 alpha=114.19 beta=106.77 gamma=90.00
Fractional positions:
N1 0.5000 0.0000 0.5000
Nd1 0.5000 0.5000 0.5000
Ce1 0.1666 0.1666 0.8332
N2 0.1768 0.6768 0.8537
N3 0.8232 0.3232 0.1463
Ce2 0.8334 0.8334 0.1668

Properties
V in Å³/cell: 98.4
Formation energy (no corrections) in eV/atom: -1.4676
SG: Immm
Distance to the lowest polymorph of the same formula in meV/atom: 0
Calculated total energy in eV per atom: -8.403